1.
The following is a DFT calculation (PBE) of crystalline AgPtI2 at its relaxed geometry.

a b c (Å): 5.386 6.541 7.755
angles (deg): 76.36 75.82 89.28
Fractional positions:
I (0.034, 0.834, 0.316)
I (0.983, 0.294, 0.799)
I (0.541, 0.434, 0.301)
Pt (0.371, 0.111, 0.578)
Ag (0.883, 0.109, 0.533)
Pt (0.503, 0.804, 0.405)
I (0.365, 0.761, 0.828)
Ag (0.638, 0.961, 0.023)

Output
The space group is P1. The calculation puts the calculated volume at 257.1 Å³ per cell. The polymorph energy (0 for the lowest one) is 0.075 eV per atom. As for the electronic total energy: -11.9 eV/f.u. The value obtained for the uncorrected formation energy is 0.011 eV/atom.


2.
The following is a DFT calculation (PBE) of crystalline AgPtI at its relaxed geometry.

a b c (Å): 3.064 4.728 11.529
angles (deg): 102.95 105.04 90.00
Fractional positions:
I (0.413, 0.340, 0.154)
Pt (0.349, 0.542, 0.602)
Ag (0.141, 0.953, 0.388)
Pt (0.651, 0.458, 0.398)
Ag (0.859, 0.047, 0.612)
I (0.587, 0.660, 0.846)

Output
The space group is P-1. The calculation puts the calculated volume at 156.9 Å³ per cell. As for the electronic total energy: -10.2 eV/f.u. The value obtained for the uncorrected formation energy is 0.075 eV/atom.


3.
The following is a DFT calculation (PBE) of crystalline AgPtI4 at its relaxed geometry.

a b c (Å): 4.227 6.985 7.778
angles (deg): 110.98 90.00 107.61
Fractional positions:
I (0.110, 0.219, 0.368)
I (0.890, 0.781, 0.632)
I (0.365, 0.731, 0.029)
Pt (0.000, 0.000, 0.000)
I (0.635, 0.269, 0.971)
Ag (0.500, 0.000, 0.500)

Output
The space group is C2/m. The calculation puts the calculated volume at 202.9 Å³ per cell. As for the electronic total energy: -15.7 eV/f.u. The value obtained for the uncorrected formation energy is -0.102 eV/atom.


4.
The following is a DFT calculation (PBE) of crystalline AgPtI2 at its relaxed geometry.

a b c (Å): 4.052 4.674 7.952
angles (deg): 77.22 89.60 64.38
Fractional positions:
I (0.752, 0.065, 0.598)
Pt (0.821, 0.918, 0.944)
Ag (0.483, 0.598, 0.798)
I (0.323, 0.909, 0.151)

Output
The space group is P1. The calculation puts the calculated volume at 131.8 Å³ per cell. The polymorph energy (0 for the lowest one) is 0.080 eV per atom. As for the electronic total energy: -11.9 eV/f.u. The value obtained for the uncorrected formation energy is 0.016 eV/atom.


5.
The following is a DFT calculation (PBE) of crystalline AgPtI2 at its relaxed geometry.

a b c (Å): 4.708 6.994 8.495
angles (deg): 98.30 104.68 90.19
Fractional positions:
Pt (0.638, 0.261, 0.555)
I (0.942, 0.897, 0.982)
I (0.597, 0.862, 0.481)
Ag (0.036, 0.099, 0.355)
I (0.805, 0.347, 0.872)
I (0.479, 0.316, 0.246)
Ag (0.154, 0.485, 0.576)
Pt (0.722, 0.641, 0.717)

Output
The space group is P1. The calculation puts the calculated volume at 267.5 Å³ per cell. The polymorph energy (0 for the lowest one) is 0.018 eV per atom. As for the electronic total energy: -12.2 eV/f.u. The value obtained for the uncorrected formation energy is -0.045 eV/atom.


6.
The following is a DFT calculation (PBE) of crystalline Ag3PtI at its relaxed geometry.

a b c (Å): 5.183 5.183 5.183
angles (deg): 90.00 90.00 90.00
Fractional positions:
Ag (0.000, 0.500, 0.000)
Ag (0.000, 0.000, 0.500)
Ag (0.500, 0.000, 0.000)
I (0.500, 0.500, 0.500)
Pt (0.000, 0.000, 0.000)

Output
The space group is Pm-3m. The calculation puts the calculated volume at 139.2 Å³ per cell. The polymorph energy (0 for the lowest one) is 0.000 eV per atom. As for the electronic total energy: -13.4 eV/f.u. The value obtained for the uncorrected formation energy is 0.542 eV/atom.


7.
The following is a DFT calculation (PBE) of crystalline Ag2PtI4 at its relaxed geometry.

a b c (Å): 7.339 7.339 6.737
angles (deg): 123.00 123.00 90.00
Fractional positions:
Pt (0.500, 0.500, 0.000)
I (0.177, 0.177, 0.842)
Ag (0.750, 0.250, 0.500)
I (0.666, 0.666, 0.842)
I (0.334, 0.823, 0.158)
Ag (0.250, 0.750, 0.500)
I (0.823, 0.334, 0.158)

Output
The space group is I-42m. The calculation puts the calculated volume at 231.4 Å³ per cell. As for the electronic total energy: -18.4 eV/f.u. The value obtained for the uncorrected formation energy is -0.068 eV/atom.


8.
The following is a DFT calculation (PBE) of crystalline AgPtI3 at its relaxed geometry.

a b c (Å): 5.517 5.517 5.517
angles (deg): 90.00 90.00 90.00
Fractional positions:
I (0.000, 0.500, 0.000)
I (0.000, 0.000, 0.500)
Pt (0.000, 0.000, 0.000)
I (0.500, 0.000, 0.000)
Ag (0.500, 0.500, 0.500)

Output
The space group is Pm-3m. The calculation puts the calculated volume at 167.9 Å³ per cell. The polymorph energy (0 for the lowest one) is 0.000 eV per atom. As for the electronic total energy: -12.4 eV/f.u. The value obtained for the uncorrected formation energy is 0.222 eV/atom.


9.
The following is a DFT calculation (PBE) of crystalline AgPt2I at its relaxed geometry.

a b c (Å): 4.740 4.740 4.740
angles (deg): 60.00 60.00 60.00
Fractional positions:
Pt (0.750, 0.750, 0.750)
Ag (0.000, 0.000, 0.000)
Pt (0.250, 0.250, 0.250)
I (0.500, 0.500, 0.500)

Output
The space group is Fm-3m. The calculation puts the calculated volume at 75.3 Å³ per cell. The polymorph energy (0 for the lowest one) is 0.090 eV per atom. As for the electronic total energy: -14.4 eV/f.u. The value obtained for the uncorrected formation energy is 0.520 eV/atom.


10.
The following is a DFT calculation (PBE) of crystalline AgPtI2 at its relaxed geometry.

a b c (Å): 5.524 5.802 8.884
angles (deg): 90.02 106.48 90.05
Fractional positions:
I (0.400, 0.176, 0.726)
Pt (0.540, 0.149, 0.465)
Pt (0.040, 0.179, 0.465)
I (0.040, 0.620, 0.964)
Ag (0.952, 0.872, 0.692)
Ag (0.127, 0.873, 0.237)
I (0.539, 0.646, 0.465)
I (0.680, 0.177, 0.204)

Output
The space group is P1. The calculation puts the calculated volume at 273.0 Å³ per cell. The polymorph energy (0 for the lowest one) is 0.065 eV per atom. As for the electronic total energy: -12.0 eV/f.u. The value obtained for the uncorrected formation energy is 0.001 eV/atom.


11.
The following is a DFT calculation (PBE) of crystalline AgPtI2 at its relaxed geometry.

a b c (Å): 5.796 6.793 6.973
angles (deg): 77.72 79.39 88.21
Fractional positions:
I (0.250, 0.750, 0.215)
Pt (0.530, 0.453, 0.261)
Pt (0.403, 0.614, 0.899)
Ag (0.893, 0.570, 0.936)
I (0.812, 0.161, 0.184)
I (0.161, 0.883, 0.668)
Ag (0.674, 0.970, 0.882)
I (0.594, 0.382, 0.646)

Output
The space group is P1. The calculation puts the calculated volume at 263.7 Å³ per cell. The polymorph energy (0 for the lowest one) is 0.024 eV per atom. As for the electronic total energy: -12.2 eV/f.u. The value obtained for the uncorrected formation energy is -0.040 eV/atom.


12.
The following is a DFT calculation (PBE) of crystalline AgPtI5 at its relaxed geometry.

a b c (Å): 8.337 8.337 10.316
angles (deg): 75.91 75.91 51.73
Fractional positions:
I (0.031, 0.657, 0.113)
I (0.969, 0.343, 0.887)
I (0.402, 0.808, 0.014)
I (0.851, 0.149, 0.250)
Pt (0.000, 0.000, 0.000)
I (0.192, 0.598, 0.486)
Ag (0.546, 0.454, 0.750)
I (0.149, 0.851, 0.750)
Pt (0.000, 0.000, 0.500)
I (0.343, 0.969, 0.387)
Ag (0.454, 0.546, 0.250)
I (0.598, 0.192, 0.986)
I (0.808, 0.402, 0.514)
I (0.657, 0.031, 0.613)

Output
The space group is C2/c. The calculation puts the calculated volume at 541.9 Å³ per cell. The polymorph energy (0 for the lowest one) is 0.025 eV per atom. As for the electronic total energy: -17.2 eV/f.u. The value obtained for the uncorrected formation energy is -0.079 eV/atom.